# 1
Entry from the Alexandria database: a relaxed structure of CsUCuTe3 (PBE-GGA).

Summary:
Raw formation energy, meV/atom: -734
Electronic total energy, eV per atom: -5.01
Volume, Å³/atom: 36.07
DOS at the Fermi energy, states/eV/f.u.: 3.3

Lattice parameters (Å, degrees): 4.375 8.935 11.419 90.00 90.00 104.17
Fractional positions:
Cu (0.471, 0.942, 0.750)
Cu (0.529, 0.058, 0.250)
Cs (0.745, 0.490, 0.750)
Cs (0.255, 0.510, 0.250)
Te (0.383, 0.766, 0.938)
Te (0.383, 0.766, 0.562)
Te (0.060, 0.121, 0.750)
Te (0.617, 0.234, 0.062)
Te (0.940, 0.879, 0.250)
Te (0.617, 0.234, 0.438)
U (0.000, 0.000, 0.000)
U (0.000, 0.000, 0.500)

# 2
Entry from the Alexandria database: a relaxed structure of La3Mg (PBE-GGA).

Summary:
Electronic total energy, eV per atom: -4.11
ΔH_f (0 K), meV per atom: -17
Volume, Å³/atom: 33.44
DOS at the Fermi energy, states/eV/f.u.: 5.0

Lattice parameters (Å, degrees): 5.839 3.760 6.092 90.00 90.00 90.00
Fractional positions:
La (0.000, 0.500, 0.548)
La (0.000, 0.000, 0.003)
La (0.500, 0.500, 0.134)
Mg (0.500, 0.000, 0.649)

# 3
Entry from the Alexandria database: a relaxed structure of Sm8Si3Te4Se (PBE-GGA).

Summary:
Raw formation energy, meV/atom: -1285
Electronic total energy, eV per atom: -5.66
Volume, Å³/atom: 28.90
DOS at the Fermi energy, states/eV/f.u.: 3.8

Lattice parameters (Å, degrees): 8.603 8.758 8.603 119.42 120.00 90.00
Fractional positions:
Sm (0.733, 0.722, 0.977)
Sm (0.755, 0.278, 0.511)
Sm (0.741, 0.723, 0.482)
Sm (0.259, 0.277, 0.518)
Sm (0.755, 0.278, 0.023)
Sm (0.245, 0.722, 0.977)
Sm (0.267, 0.278, 0.023)
Sm (0.245, 0.722, 0.489)
Si (0.500, 0.500, 0.000)
Si (0.500, 0.500, 0.500)
Si (0.000, 0.500, 0.500)
Te (0.000, 0.000, 0.500)
Te (0.500, 0.000, 0.000)
Te (0.500, 0.000, 0.500)
Te (0.000, 0.000, 0.000)
Se (0.000, 0.500, 0.000)

# 4
Entry from the Alexandria database: a relaxed structure of Pm6Sm3Ho2Th (PBE-GGA).

Summary:
Electronic total energy, eV per atom: -4.91
ΔH_f (0 K), meV per atom: 28
Volume, Å³/atom: 33.55
DOS at the Fermi energy, states/eV/f.u.: 17.0

Lattice parameters (Å, degrees): 6.261 6.261 12.033 94.99 94.99 119.91
Fractional positions:
Pm (0.753, 0.753, 0.247)
Pm (0.587, 0.917, 0.753)
Pm (0.917, 0.587, 0.753)
Pm (0.413, 0.083, 0.247)
Pm (0.083, 0.413, 0.247)
Pm (0.247, 0.247, 0.753)
Sm (0.167, 0.833, 0.500)
Sm (0.500, 0.500, 0.500)
Sm (0.833, 0.167, 0.500)
Ho (0.667, 0.333, 0.000)
Ho (0.333, 0.667, 0.000)
Th (0.000, 0.000, 0.000)

# 5
Entry from the Alexandria database: a relaxed structure of CoCuPt14 (PBE-GGA).

Summary:
Electronic total energy, eV per atom: -6.00
ΔH_f (0 K), meV per atom: -16
Volume, Å³/atom: 15.35
DOS at the Fermi energy, states/eV/f.u.: 27.1

Lattice parameters (Å, degrees): 5.550 5.550 9.206 90.00 90.00 119.98
Fractional positions:
Pt (0.209, 0.291, 0.000)
Pt (0.041, 0.458, 0.500)
Pt (0.377, 0.623, 0.744)
Pt (0.374, 0.127, 0.260)
Pt (0.709, 0.291, 0.000)
Pt (0.209, 0.791, 0.000)
Pt (0.542, 0.959, 0.500)
Pt (0.377, 0.623, 0.256)
Pt (0.709, 0.791, 0.000)
Pt (0.374, 0.127, 0.740)
Pt (0.873, 0.626, 0.740)
Pt (0.873, 0.626, 0.260)
Pt (0.876, 0.124, 0.254)
Pt (0.876, 0.124, 0.746)
Co (0.540, 0.460, 0.500)
Cu (0.040, 0.960, 0.500)

# 6
Entry from the Alexandria database: a relaxed structure of LiSm3Te3 (PBE-GGA).

Summary:
Raw formation energy, meV/atom: -1167
Offset from the most stable computed form, meV/atom: 0
Electronic total energy, eV per atom: -4.81
Volume, Å³/atom: 28.06
DOS at the Fermi energy, states/eV/f.u.: 3.6

Lattice parameters (Å, degrees): 4.444 12.474 14.174 90.00 90.00 90.00
Fractional positions:
Sm (0.750, 0.139, 0.008)
Sm (0.250, 0.779, 0.272)
Sm (0.750, 0.221, 0.728)
Sm (0.250, 0.552, 0.111)
Sm (0.250, 0.361, 0.508)
Sm (0.250, 0.052, 0.389)
Sm (0.750, 0.721, 0.772)
Sm (0.750, 0.948, 0.611)
Sm (0.750, 0.639, 0.492)
Sm (0.250, 0.861, 0.992)
Sm (0.750, 0.448, 0.889)
Sm (0.250, 0.279, 0.228)
Te (0.250, 0.044, 0.153)
Te (0.750, 0.872, 0.403)
Te (0.750, 0.456, 0.653)
Te (0.250, 0.763, 0.618)
Te (0.750, 0.737, 0.118)
Te (0.250, 0.628, 0.903)
Te (0.750, 0.372, 0.097)
Te (0.250, 0.544, 0.347)
Te (0.250, 0.128, 0.597)
Te (0.250, 0.263, 0.882)
Te (0.750, 0.237, 0.382)
Te (0.750, 0.956, 0.847)
Li (0.250, 0.557, 0.688)
Li (0.750, 0.443, 0.312)
Li (0.750, 0.943, 0.188)
Li (0.250, 0.057, 0.812)